Record 1
## GaMo3Rh (meta-GGA SCAN)

Data for GaMo3Rh at its PBEsol-relaxed geometry.

Calculated values
* density of states at the Fermi level: 1.26 states/eV per atom
* energy: -29.296 eV/atom
* E_form: 8.29 eV/f.u.

Structure (CIF):
```
data_GaMo3Rh
_chemical_formula_sum 'Ga1 Mo3 Rh1'
_cell_length_a 4.6181
_cell_length_b 4.6181
_cell_length_c 4.6181
_cell_angle_alpha 90.00
_cell_angle_beta 90.00
_cell_angle_gamma 90.00
_symmetry_space_group_name_H-M 'P m -3 m'
_symmetry_Int_Tables_number 221
_symmetry_space_group_name_Hall '-P 4 2 3'
loop_
_atom_site_label
_atom_site_type_symbol
_atom_site_fract_x
_atom_site_fract_y
_atom_site_fract_z
Ga1 Ga 0.0000 0.0000 0.0000
Mo1 Mo 0.0000 0.5000 0.5000
Rh1 Rh 0.5000 0.5000 0.5000
```

Record 2
## YBe4Sb (meta-GGA SCAN)

Data for YBe4Sb at its PBEsol-relaxed geometry.

Calculated values
* density of states at the Fermi level: 0.61 states/eV per atom
* energy: -13.471 eV/atom
* raw formation energy: 0.28 eV per atom

Structure (CIF):
```
data_YBe4Sb
_chemical_formula_sum 'Y4 Be16 Sb4'
_cell_length_a 7.0531
_cell_length_b 7.0531
_cell_length_c 7.0531
_cell_angle_alpha 90.00
_cell_angle_beta 90.00
_cell_angle_gamma 90.00
_symmetry_space_group_name_H-M 'F -4 3 m'
_symmetry_Int_Tables_number 216
_symmetry_space_group_name_Hall 'F -4 2 3'
loop_
_atom_site_label
_atom_site_type_symbol
_atom_site_fract_x
_atom_site_fract_y
_atom_site_fract_z
Y1 Y 0.0000 0.0000 0.0000
Be1 Be 0.1322 0.1322 0.3678
Sb1 Sb 0.2500 0.2500 0.7500
```

Record 3
## KBe2Cr (meta-GGA SCAN)

Data for KBe2Cr at its PBEsol-relaxed geometry.

Calculated values
* density of states at the Fermi level: 0.48 states/eV per atom
* energy: -7.969 eV/atom
* E_form: 3.54 eV/f.u.

Structure (CIF):
```
data_KBe2Cr
_chemical_formula_sum 'K4 Be8 Cr4'
_cell_length_a 4.5173
_cell_length_b 4.5173
_cell_length_c 17.0371
_cell_angle_alpha 90.00
_cell_angle_beta 90.00
_cell_angle_gamma 90.00
_symmetry_space_group_name_H-M 'I 41/a m d'
_symmetry_Int_Tables_number 141
loop_
_symmetry_equiv_pos_as_xyz
'x,y,z'
'-x,-y,-z'
'-y+1/4,x+3/4,z+1/4'
'y+1/4,-x+3/4,-z+1/4'
'-x+1/2,-y,z+1/2'
'x+1/2,y,-z+1/2'
'y+1/4,-x+1/4,z+3/4'
'-y+1/4,x+1/4,-z+3/4'
'x,-y,-z'
'-x,y,z'
'-y+1/4,-x+1/4,-z+3/4'
'y+1/4,x+1/4,z+3/4'
'-x+1/2,y,-z+1/2'
'x+1/2,-y,z+1/2'
'y+1/4,x+3/4,-z+1/4'
'-y+1/4,-x+3/4,z+1/4'
'x+1/2,y+1/2,z+1/2'
'-x+1/2,-y+1/2,-z+1/2'
'-y+3/4,x+1/4,z+3/4'
'y+3/4,-x+1/4,-z+3/4'
'-x,-y+1/2,z'
'x,y+1/2,-z'
'y+3/4,-x+3/4,z+1/4'
'-y+3/4,x+3/4,-z+1/4'
'x+1/2,-y+1/2,-z+1/2'
'-x+1/2,y+1/2,z+1/2'
'-y+3/4,-x+3/4,-z+1/4'
'y+3/4,x+3/4,z+1/4'
'-x,y+1/2,-z'
'x,-y+1/2,z'
'y+3/4,x+1/4,-z+3/4'
'-y+3/4,-x+1/4,z+3/4'
loop_
_atom_site_label
_atom_site_type_symbol
_atom_site_fract_x
_atom_site_fract_y
_atom_site_fract_z
K1 K 0.0000 0.2500 0.3750
Be1 Be 0.0000 0.0000 0.0000
Cr1 Cr 0.0000 0.2500 0.8750
```

What did the third record say?
## KBe2Cr (meta-GGA SCAN)

Data for KBe2Cr at its PBEsol-relaxed geometry.

Calculated values
* density of states at the Fermi level: 0.48 states/eV per atom
* energy: -7.969 eV/atom
* E_form: 3.54 eV/f.u.

Structure (CIF):
```
data_KBe2Cr
_chemical_formula_sum 'K4 Be8 Cr4'
_cell_length_a 4.5173
_cell_length_b 4.5173
_cell_length_c 17.0371
_cell_angle_alpha 90.00
_cell_angle_beta 90.00
_cell_angle_gamma 90.00
_symmetry_space_group_name_H-M 'I 41/a m d'
_symmetry_Int_Tables_number 141
loop_
_symmetry_equiv_pos_as_xyz
'x,y,z'
'-x,-y,-z'
'-y+1/4,x+3/4,z+1/4'
'y+1/4,-x+3/4,-z+1/4'
'-x+1/2,-y,z+1/2'
'x+1/2,y,-z+1/2'
'y+1/4,-x+1/4,z+3/4'
'-y+1/4,x+1/4,-z+3/4'
'x,-y,-z'
'-x,y,z'
'-y+1/4,-x+1/4,-z+3/4'
'y+1/4,x+1/4,z+3/4'
'-x+1/2,y,-z+1/2'
'x+1/2,-y,z+1/2'
'y+1/4,x+3/4,-z+1/4'
'-y+1/4,-x+3/4,z+1/4'
'x+1/2,y+1/2,z+1/2'
'-x+1/2,-y+1/2,-z+1/2'
'-y+3/4,x+1/4,z+3/4'
'y+3/4,-x+1/4,-z+3/4'
'-x,-y+1/2,z'
'x,y+1/2,-z'
'y+3/4,-x+3/4,z+1/4'
'-y+3/4,x+3/4,-z+1/4'
'x+1/2,-y+1/2,-z+1/2'
'-x+1/2,y+1/2,z+1/2'
'-y+3/4,-x+3/4,-z+1/4'
'y+3/4,x+3/4,z+1/4'
'-x,y+1/2,-z'
'x,-y+1/2,z'
'y+3/4,x+1/4,-z+3/4'
'-y+3/4,-x+1/4,z+3/4'
loop_
_atom_site_label
_atom_site_type_symbol
_atom_site_fract_x
_atom_site_fract_y
_atom_site_fract_z
K1 K 0.0000 0.2500 0.3750
Be1 Be 0.0000 0.0000 0.0000
Cr1 Cr 0.0000 0.2500 0.8750
```